(1)
# Sm2AlAgO5 | Alexandria | GGA-PBE | optimized geometry
# DFT total energy, eV per atom: -7.0440
data_Sm2AlAgO5
_chemical_formula_sum 'Sm4 Al2 Ag2 O10'
_cell_length_a 6.6448
_cell_length_b 6.6448
_cell_length_c 5.6074
_cell_angle_alpha 90.00
_cell_angle_beta 90.00
_cell_angle_gamma 90.00
_symmetry_space_group_name_H-M 'P 4/m b m'
_symmetry_Int_Tables_number 127
_symmetry_space_group_name_Hall '-P 4 2ab'
loop_
_atom_site_label
_atom_site_fract_x
_atom_site_fract_y
_atom_site_fract_z
Sm1 0.1788 0.3212 0.0000
Al1 0.0000 0.5000 0.5000
Ag1 0.0000 0.0000 0.5000
O1 0.0000 0.0000 0.0000
O2 0.1317 0.6317 0.2630


(2)
# Sr3AlAg2O6 | Alexandria | GGA-PBE | optimized geometry
# DFT total energy, eV per atom: -5.4500
data_Sr3AlAg2O6
_chemical_formula_sum 'Sr3 Al1 Ag2 O6'
_cell_length_a 5.8018
_cell_length_b 5.8018
_cell_length_c 6.3472
_cell_angle_alpha 90.00
_cell_angle_beta 90.00
_cell_angle_gamma 120.00
_symmetry_space_group_name_H-M 'P -3 m 1'
_symmetry_Int_Tables_number 164
_symmetry_space_group_name_Hall '-P 3 2"'
loop_
_atom_site_label
_atom_site_fract_x
_atom_site_fract_y
_atom_site_fract_z
Sr1 0.0000 0.0000 0.0000
Sr2 0.3333 0.6667 0.6074
Al1 0.0000 0.0000 0.5000
Ag1 0.3333 0.6667 0.1137
O1 0.1554 0.3108 0.3206


(3)
# Sr2AlAgO4 | Alexandria | GGA-PBE | optimized geometry
# DFT total energy, eV per atom: -5.9266
data_Sr2AlAgO4
_chemical_formula_sum 'Sr4 Al2 Ag2 O8'
_cell_length_a 6.1978
_cell_length_b 6.1978
_cell_length_c 6.5368
_cell_angle_alpha 90.00
_cell_angle_beta 90.00
_cell_angle_gamma 90.00
_symmetry_space_group_name_H-M 'I -4'
_symmetry_Int_Tables_number 82
_symmetry_space_group_name_Hall 'I -4'
loop_
_atom_site_label
_atom_site_fract_x
_atom_site_fract_y
_atom_site_fract_z
Sr1 0.0000 0.0000 0.0000
Sr2 0.0000 0.5000 0.2500
Al1 0.0000 0.0000 0.5000
Ag1 0.0000 0.5000 0.7500
O1 0.1630 0.8313 0.6614


(4)
# Al2TcAgO | Alexandria | GGA-PBE | optimized geometry
# DFT total energy, eV per atom: -4.0074
data_Al2TcAgO
_chemical_formula_sum 'Al2 Tc1 Ag1 O1'
_cell_length_a 4.7834
_cell_length_b 4.7834
_cell_length_c 5.0827
_cell_angle_alpha 90.00
_cell_angle_beta 90.00
_cell_angle_gamma 90.00
_symmetry_space_group_name_H-M 'P 4/m m m'
_symmetry_Int_Tables_number 123
_symmetry_space_group_name_Hall '-P 4 2'
loop_
_atom_site_label
_atom_site_fract_x
_atom_site_fract_y
_atom_site_fract_z
Al1 0.0000 0.5000 0.0000
Tc1 0.0000 0.0000 0.0000
Ag1 0.0000 0.0000 0.5000
O1 0.5000 0.5000 0.5000


(5)
# AlAgTeO6 | Alexandria | GGA-PBE | optimized geometry
# DFT total energy, eV per atom: -5.5502
data_AlAgTeO6
_chemical_formula_sum 'Al2 Ag2 Te2 O12'
_cell_length_a 5.1342
_cell_length_b 5.1342
_cell_length_c 9.1846
_cell_angle_alpha 90.00
_cell_angle_beta 90.00
_cell_angle_gamma 120.00
_symmetry_space_group_name_H-M 'P -3 1 c'
_symmetry_Int_Tables_number 163
_symmetry_space_group_name_Hall '-P 3 2c'
loop_
_atom_site_label
_atom_site_fract_x
_atom_site_fract_y
_atom_site_fract_z
Al1 0.3333 0.6667 0.2500
Ag1 0.0000 0.0000 0.0000
Te1 0.3333 0.6667 0.7500
O1 0.0048 0.3672 0.1384


(6)
# TiAl2Ag2O6 | Alexandria | GGA-PBE | optimized geometry
# DFT total energy, eV per atom: -6.7402
data_TiAl2Ag2O6
_chemical_formula_sum 'Ti2 Al4 Ag4 O12'
_cell_length_a 5.0972
_cell_length_b 8.6639
_cell_length_c 6.3490
_cell_angle_alpha 90.00
_cell_angle_beta 109.70
_cell_angle_gamma 90.00
_symmetry_space_group_name_H-M 'C 1 2/m 1'
_symmetry_Int_Tables_number 12
_symmetry_space_group_name_Hall '-C 2y'
loop_
_atom_site_label
_atom_site_fract_x
_atom_site_fract_y
_atom_site_fract_z
Ti1 0.0000 0.0000 0.0000
Al1 0.0000 0.3330 0.0000
Ag1 0.0000 0.3230 0.5000
O1 0.0900 0.5000 0.8344
O2 0.1005 0.1716 0.8346


(7)
# UAlAg2O6 | Alexandria | GGA-PBE | optimized geometry
# DFT total energy, eV per atom: -6.9487
data_UAlAg2O6
_chemical_formula_sum 'U2 Al2 Ag4 O12'
_cell_length_a 9.4651
_cell_length_b 5.7071
_cell_length_c 5.5083
_cell_angle_alpha 90.00
_cell_angle_beta 124.92
_cell_angle_gamma 90.00
_symmetry_space_group_name_H-M 'C 1 2/m 1'
_symmetry_Int_Tables_number 12
_symmetry_space_group_name_Hall '-C 2y'
loop_
_atom_site_label
_atom_site_fract_x
_atom_site_fract_y
_atom_site_fract_z
U1 0.0000 0.0000 0.0000
Al1 0.0000 0.5000 0.5000
Ag1 0.2494 0.5000 0.2735
O1 0.0530 0.2626 0.3169
O2 0.2429 0.5000 0.8430


(8)
# UAl2AgO8 | Alexandria | GGA-PBE | optimized geometry
# DFT total energy, eV per atom: -7.1993
data_UAl2AgO8
_chemical_formula_sum 'U1 Al2 Ag1 O8'
_cell_length_a 4.7367
_cell_length_b 4.7424
_cell_length_c 6.1461
_cell_angle_alpha 89.48
_cell_angle_beta 89.47
_cell_angle_gamma 88.77
_symmetry_space_group_name_H-M 'P -1'
_symmetry_Int_Tables_number 2
_symmetry_space_group_name_Hall '-P 1'
loop_
_atom_site_label
_atom_site_fract_x
_atom_site_fract_y
_atom_site_fract_z
U1 0.0000 0.0000 0.0000
Al1 0.4984 0.4984 0.2530
Ag1 0.0000 0.0000 0.5000
O1 0.2127 0.2108 0.2419
O2 0.2160 0.2139 0.7636
O3 0.3172 0.6809 0.0000
O4 0.3286 0.6696 0.5000


DFT total energy of number 2 (Sr3AlAg2O6)? -5.4500 eV per atom